LaNiO2F: relaxed, GGA+U.

abc: 4.5074 4.5074 4.6811
angles: 90.00 90.00 90.00
Last column: nearest neighbours and their distance in Å.
Space group P4/mmm (No. 123)
Asymmetric unit:
La  0.0000  0.0000  0.0000 [1 per cell]  4 O 2.25, 2 F 2.34
Ni  0.5000  0.5000  0.5000 [1 per cell]  4 F 3.19, 8 O 3.25
O  0.0000  0.5000  0.0000 [2 per cell]  2 La 2.25
F  0.0000  0.0000  0.5000 [1 per cell]  2 La 2.34

Computed properties:
E (eV/atom): -5.346
V (A^3/atom): 19.0
Density of states at the Fermi level (states/eV per atom): 1.6347